[1]
# CaY2Hf2 (GGA-PBE, optimized geometry)
# **Uncorrected energy**: -67.27 eV for the cell shown
# **Offset from the most stable computed form**: 0 meV/atom
# **Formation energy from the elements**: 23.2 kJ/mol of atoms
data_CaY2Hf2
_chemical_formula_sum 'Ca2 Y4 Hf4'
_cell_length_a 9.206
_cell_length_b 9.206
_cell_length_c 3.480
_cell_angle_alpha 90.00
_cell_angle_beta 90.00
_cell_angle_gamma 90.00
_symmetry_space_group_name_H-M 'P 4/m b m'
_symmetry_Int_Tables_number 127
_symmetry_space_group_name_Hall '-P 4 2ab'
loop_
_atom_site_label
_atom_site_fract_x
_atom_site_fract_y
_atom_site_fract_z
Ca1 0.000 0.000 0.000
Y1 0.177 0.323 0.500
Hf1 0.113 0.613 0.000

=====

[2]
# CaY2Hf (GGA-PBE, optimized geometry)
# **Uncorrected energy**: -87.91 eV for the cell shown
# **Offset from the most stable computed form**: 591 meV/atom
# **Formation energy from the elements**: 70.1 kJ/mol of atoms
data_CaY2Hf
_chemical_formula_sum 'Ca4 Y8 Hf4'
_cell_length_a 4.726
_cell_length_b 4.726
_cell_length_c 22.847
_cell_angle_alpha 90.00
_cell_angle_beta 90.00
_cell_angle_gamma 90.00
_symmetry_space_group_name_H-M 'I -4 2 d'
_symmetry_Int_Tables_number 122
_symmetry_space_group_name_Hall 'I -4 2bw'
loop_
_atom_site_label
_atom_site_fract_x
_atom_site_fract_y
_atom_site_fract_z
Ca1 0.000 0.000 0.000
Y1 0.232 0.250 0.625
Hf1 0.000 0.000 0.500

=====

[3]
# CaY2Hf (GGA-PBE, optimized geometry)
# **Uncorrected energy**: -24.34 eV for the cell shown
# **Offset from the most stable computed form**: 0 meV/atom
# **Formation energy from the elements**: 13.1 kJ/mol of atoms
data_CaY2Hf
_chemical_formula_sum 'Ca1 Y2 Hf1'
_cell_length_a 3.492
_cell_length_b 3.492
_cell_length_c 10.241
_cell_angle_alpha 90.00
_cell_angle_beta 90.00
_cell_angle_gamma 90.00
_symmetry_space_group_name_H-M 'P 4/m m m'
_symmetry_Int_Tables_number 123
_symmetry_space_group_name_Hall '-P 4 2'
loop_
_atom_site_label
_atom_site_fract_x
_atom_site_fract_y
_atom_site_fract_z
Ca1 0.000 0.000 0.000
Y1 0.500 0.500 0.286
Hf1 0.000 0.000 0.500

=====

[4]
# CaY3Hf (GGA-PBE, optimized geometry)
# **Uncorrected energy**: -28.86 eV for the cell shown
# **Offset from the most stable computed form**: 0 meV/atom
# **Formation energy from the elements**: 48.0 kJ/mol of atoms
data_CaY3Hf
_chemical_formula_sum 'Ca1 Y3 Hf1'
_cell_length_a 5.681
_cell_length_b 5.681
_cell_length_c 5.681
_cell_angle_alpha 90.00
_cell_angle_beta 90.00
_cell_angle_gamma 90.00
_symmetry_space_group_name_H-M 'P m -3 m'
_symmetry_Int_Tables_number 221
_symmetry_space_group_name_Hall '-P 4 2 3'
loop_
_atom_site_label
_atom_site_fract_x
_atom_site_fract_y
_atom_site_fract_z
Ca1 0.000 0.000 0.000
Y1 0.000 0.500 0.500
Hf1 0.500 0.500 0.500

=====

The highest uncorrected energy belongs to which entry? number 3

=====

uncorrected energy of number 2 (CaY2Hf)? -87.91 eV for the cell shown

=====

Which value of formation energy from the elements does entry 2 give? 70.1 kJ/mol of atoms